[1]
Entry from Alexandria: a geometry-optimized InCuP structure (PBE).

```
3
Lattice="-5.0210 2.9958 1.7031 -3.3767 0.3170 5.0580 5.6620 -0.3164 -2.2199" Properties=species:S:1:pos:R:3 pbc="T T T"
P -5.1329 2.0249 4.1326
Cu -0.3931 0.1551 0.3165
In -2.8717 1.1329 2.3120
```

Summary:
Calculated total energy, eV for the cell shown: -11.6

=====

[2]
Entry from Alexandria: a geometry-optimized Rb5Dy2I12 structure (PBE).

```
19
Lattice="8.7510 0.0000 0.0000 -4.3755 9.4912 -3.9733 0.0000 0.8811 11.9434" Properties=species:S:1:pos:R:3 pbc="T T T"
I -2.0134 7.1218 2.3564
I 2.2187 2.9676 -0.3651
I -2.1568 7.4047 8.3351
I 2.1568 7.4047 8.3351
I 4.3755 10.0890 5.8507
I 4.3755 0.2647 2.1640
I 2.3621 3.2504 5.6136
I 0.0000 0.2833 2.1194
I 6.3888 3.2504 5.6136
I 6.5323 2.9676 -0.3651
I 0.0000 10.1076 5.8060
I 2.0134 7.1218 2.3564
Dy 2.1891 0.0000 0.0000
Dy 6.5618 0.0000 0.0000
Rb 0.0000 0.4406 5.9717
Rb 0.0000 6.1628 5.3673
Rb 4.3755 4.3568 8.5022
Rb 0.0000 6.0154 -0.5322
Rb 4.3755 4.2095 2.6028
```

Summary:
Formation energy from raw total energies, eV per atom: -1.330

=====

[3]
Entry from Alexandria: a geometry-optimized NdGdTmZr structure (PBE).

```
4
Lattice="5.5257 0.0000 0.0000 2.7629 4.7854 0.0000 2.7629 1.5951 4.5117" Properties=species:S:1:pos:R:3 pbc="T T T"
Gd 0.0000 0.0000 0.0000
Zr 2.7629 1.5951 1.1279
Tm 5.5257 3.1903 2.2559
Nd 8.2886 4.7854 3.3838
```

Summary:
Calculated total energy, eV for the cell shown: -31.0

=====

[4]
Entry from Alexandria: a geometry-optimized La2RuAuN structure (PBE).

```
5
Lattice="5.2712 0.0000 0.0000 0.0000 5.2712 0.0000 0.0000 0.0000 3.8787" Properties=species:S:1:pos:R:3 pbc="T T T"
Ru 0.0000 0.0000 1.9394
N 0.0000 0.0000 0.0000
La 2.6356 0.0000 0.0000
La 0.0000 2.6356 0.0000
Au 2.6356 2.6356 1.9394
```

Summary:
Formation energy from raw total energies, eV per atom: -0.818

=====

[5]
Entry from Alexandria: a geometry-optimized PaHgTe2 structure (PBE).

```
4
Lattice="-2.7860 2.6994 -1.8682 -4.1757 -0.1573 1.0380 -0.7625 7.4899 6.9975" Properties=species:S:1:pos:R:3 pbc="T T T"
Pa -5.4084 9.1641 6.4216
Te -2.0423 2.0336 1.0223
Te -1.0509 6.2605 5.6512
Hg -3.8472 5.0795 3.1533
```

Summary:
Formation energy from raw total energies, eV per atom: -0.561

=====

[6]
Entry from Alexandria: a geometry-optimized LiSm6Ir5 structure (PBE).

```
12
Lattice="4.7390 -0.0041 -1.3284 -3.5531 7.0051 -3.5801 -0.1521 -0.9578 8.5774" Properties=species:S:1:pos:R:3 pbc="T T T"
Ir -0.6419 5.7345 -2.3076
Ir -1.2761 1.6738 4.5596
Ir 0.5169 3.0216 1.8345
Ir 2.3098 4.3694 -0.8907
Ir 1.6756 0.3086 5.9765
Sm 1.3495 3.1455 4.8044
Sm -1.6040 4.4768 3.3809
Sm -0.3158 2.8977 -1.1355
Sm 0.8430 0.1846 3.0068
Sm 0.1907 5.8586 0.6621
Sm 2.6378 1.5664 0.2880
Li 0.0000 0.0000 0.0000
```

Summary:
Calculated total energy, eV for the cell shown: -81.7

=====

[7]
Entry from Alexandria: a geometry-optimized Tb2Pm2Ir3 structure (PBE).

```
7
Lattice="4.2919 -0.0043 0.0018 -2.1383 7.3704 -0.0061 -0.0038 -1.1760 5.7293" Properties=species:S:1:pos:R:3 pbc="T T T"
Tb 0.0005 2.1262 1.8541
Tb 2.1492 4.0640 3.8710
Pm 0.0048 5.8068 1.0933
Pm 2.1449 0.3833 4.6318
Ir 0.0000 0.0000 0.0000
Ir 2.1483 3.7976 0.9706
Ir 0.0015 2.3926 4.7545
```

Summary:
Calculated total energy, eV for the cell shown: -49.9

=====

[8]
Entry from Alexandria: a geometry-optimized CaAl2Cd2 structure (PBE).

```
10
Lattice="-6.3771 -4.7127 1.9372 4.7864 -6.6048 -0.3114 0.7324 0.3742 3.3212" Properties=species:S:1:pos:R:3 pbc="T T T"
Cd 2.4799 -5.1037 1.7906
Cd -3.3383 -5.8397 3.1565
Cd 0.0027 -8.4417 2.7129
Cd -0.8611 -2.5017 2.2342
Ca -0.7954 -5.6588 0.8129
Ca 0.0000 0.0000 0.0000
Al 1.7885 -7.6050 0.4624
Al -2.6462 -8.2419 1.5121
Al -3.3792 -3.7126 1.1634
Al 1.0555 -3.0757 0.1138
```

Summary:
Calculated total energy, eV for the cell shown: -22.9